Record 1
DFT (SCAN) results for a PBEsol-optimized structure of Rb3TmP2O8.

Summary:
Formation energy from raw total energies   -40.12 eV per formula unit
DOS(E_F)   0.0 states/eV per cell
Uncorrected energy   -224.8 eV for the cell shown

Cell: 5.6489 5.6489 7.9913 Å, 90.00 90.00 120.00°
Space group P-3m1 (No. 164)
Asymmetric unit:
Rb: 0.0000 0.0000 0.0000
Rb: 0.3333 0.6667 0.7470
Tm: 0.0000 0.0000 0.5000
P: 0.3333 0.6667 0.2746
O: 0.1837 0.3673 0.3426
O: 0.3333 0.6667 0.0843

***

Record 2
DFT (SCAN) results for a PBEsol-optimized structure of RbTmP4O12.

Summary:
Formation energy from raw total energies   -49.35 eV per formula unit
DOS(E_F)   0.0 states/eV per cell
Uncorrected energy   -953.2 eV for the cell shown

Cell: 10.202 8.803 12.669 Å, 90.00 124.13 90.00°
Space group P2_1/c (No. 14)
Asymmetric unit:
Rb: 0.235 0.063 0.042
Tm: 0.314 0.727 0.816
P: 0.024 0.024 0.280
P: 0.199 0.613 0.024
P: 0.328 0.170 0.369
P: 0.392 0.091 0.743
O: 0.035 0.551 0.901
O: 0.074 0.587 0.718
O: 0.136 0.594 0.303
O: 0.155 0.158 0.346
O: 0.164 0.715 0.100
O: 0.270 0.047 0.596
O: 0.282 0.210 0.756
O: 0.297 0.672 0.980
O: 0.371 0.024 0.335
O: 0.425 0.545 0.325
O: 0.433 0.242 0.497
O: 0.472 0.676 0.741